1.
First-principles (PBE) data for a relaxed structure of Tb6Y3Th, as listed in Alexandria via LeMat-Bulk.

Properties
Energy above the lowest structure with this stoichiometry: 0.2187 eV per atom
Magnetization: 0.00 μB per cell
Space-group type: R32, No. 155
Final energy: -5.16 eV per atom

abc: 6.925 6.925 6.925
angles: 90.75 90.75 90.75
Atoms (fractional coordinates):
Tb (0.000, 0.328, 0.672)
Tb (0.165, 0.835, 0.500)
Tb (0.328, 0.672, 0.000)
Tb (0.500, 0.165, 0.835)
Tb (0.672, 0.000, 0.328)
Tb (0.835, 0.500, 0.165)
Y (0.258, 0.258, 0.258)
Y (0.500, 0.500, 0.500)
Y (0.742, 0.742, 0.742)
Th (0.000, 0.000, 0.000)



2.
First-principles (PBE) data for a relaxed structure of Tb3Tl3AgTe8, as listed in Alexandria via LeMat-Bulk.

Properties
Energy relative to the elements, uncorrected: -756 meV/atom
Magnetization: 0.00 μB per cell
Space-group type: C2/m, No. 12
Final energy: -4.02 eV per atom

abc: 8.836 8.836 9.576
angles: 117.82 117.82 58.33
Atoms (fractional coordinates):
Tb (0.000, 0.000, 0.000)
Tb (0.000, 0.500, 0.000)
Tb (0.500, 0.000, 0.000)
Tl (0.000, 0.500, 0.500)
Tl (0.500, 0.000, 0.500)
Tl (0.500, 0.500, 0.500)
Ag (0.500, 0.500, 0.000)
Te (0.203, 0.203, 0.740)
Te (0.238, 0.238, 0.220)
Te (0.262, 0.715, 0.197)
Te (0.285, 0.738, 0.803)
Te (0.715, 0.262, 0.197)
Te (0.738, 0.285, 0.803)
Te (0.762, 0.762, 0.780)
Te (0.797, 0.797, 0.260)



3.
First-principles (PBE) data for a relaxed structure of Ac2HSe, as listed in Alexandria via LeMat-Bulk.

Properties
Energy above the lowest structure with this stoichiometry: 0.0000 eV per atom
Magnetization: 0.78 μB per cell
Space-group type: R-3m, No. 166
Final energy: -4.74 eV per atom

abc: 7.770 7.770 7.770
angles: 30.70 30.70 30.70
Atoms (fractional coordinates):
Ac (0.240, 0.240, 0.240)
Ac (0.760, 0.760, 0.760)
H (0.500, 0.500, 0.500)
Se (0.000, 0.000, 0.000)



4.
First-principles (PBE) data for a relaxed structure of Tb12Ho5Mg2, as listed in Alexandria via LeMat-Bulk.

Properties
Magnetization: 0.00 μB per cell
Space-group type: C2/m, No. 12
Final energy: -4.20 eV per atom

abc: 9.053 9.053 8.362
angles: 91.03 91.03 60.51
Atoms (fractional coordinates):
Tb (0.058, 0.058, 0.335)
Tb (0.068, 0.680, 0.330)
Tb (0.165, 0.533, 0.759)
Tb (0.320, 0.932, 0.670)
Tb (0.415, 0.415, 0.114)
Tb (0.467, 0.835, 0.241)
Tb (0.533, 0.165, 0.759)
Tb (0.585, 0.585, 0.886)
Tb (0.680, 0.068, 0.330)
Tb (0.835, 0.467, 0.241)
Tb (0.932, 0.320, 0.670)
Tb (0.942, 0.942, 0.665)
Ho (0.201, 0.201, 0.015)
Ho (0.266, 0.266, 0.424)
Ho (0.500, 0.500, 0.500)
Ho (0.734, 0.734, 0.576)
Ho (0.799, 0.799, 0.985)
Mg (0.170, 0.830, 0.000)
Mg (0.830, 0.170, 0.000)



5.
First-principles (PBE) data for a relaxed structure of BaMgSiTe2, as listed in Alexandria via LeMat-Bulk.

Properties
Energy relative to the elements, uncorrected: 715 meV/atom
Magnetization: 0.56 μB per cell
Space-group type: P4/mmm, No. 123
Final energy: -2.33 eV per atom

abc: 6.446 6.446 5.935
angles: 90.00 90.00 90.00
Atoms (fractional coordinates):
Ba (0.000, 0.000, 0.000)
Mg (0.500, 0.500, 0.500)
Si (0.000, 0.000, 0.500)
Te (0.000, 0.500, 0.000)
Te (0.500, 0.000, 0.000)



6.
First-principles (PBE) data for a relaxed structure of La2PrH2, as listed in Alexandria via LeMat-Bulk.

Properties
Magnetization: 0.00 μB per cell
Space-group type: P6_3/mmc, No. 194
Final energy: -4.53 eV per atom

abc: 3.792 3.792 17.960
angles: 90.00 90.00 120.00
Atoms (fractional coordinates):
La (0.333, 0.667, 0.086)
La (0.333, 0.667, 0.414)
La (0.667, 0.333, 0.586)
La (0.667, 0.333, 0.914)
Pr (0.333, 0.667, 0.750)
Pr (0.667, 0.333, 0.250)
H (0.000, 0.000, 0.170)
H (0.000, 0.000, 0.330)
H (0.000, 0.000, 0.670)
H (0.000, 0.000, 0.830)



7.
First-principles (PBE) data for a relaxed structure of Tb6YTh4, as listed in Alexandria via LeMat-Bulk.

Properties
Energy above the lowest structure with this stoichiometry: 0.0000 eV per atom
Magnetization: 0.00 μB per cell
Space-group type: Immm, No. 71
Final energy: -5.65 eV per atom

abc: 18.201 18.201 18.201
angles: 169.15 161.46 21.53
Atoms (fractional coordinates):
Tb (0.096, 0.096, 0.000)
Tb (0.267, 0.267, 0.000)
Tb (0.369, 0.369, 0.000)
Tb (0.631, 0.631, 0.000)
Tb (0.733, 0.733, 0.000)
Tb (0.904, 0.904, 0.000)
Y (0.000, 0.500, 0.500)
Th (0.182, 0.682, 0.500)
Th (0.456, 0.956, 0.500)
Th (0.544, 0.044, 0.500)
Th (0.818, 0.318, 0.500)



8.
First-principles (PBE) data for a relaxed structure of AlBiSe2, as listed in Alexandria via LeMat-Bulk.

Properties
Energy relative to the elements, uncorrected: -36 meV/atom
Energy above the lowest structure with this stoichiometry: 0.5489 eV per atom
Magnetization: 0.00 μB per cell
Space-group type: R-3m, No. 166
Final energy: -3.68 eV per atom

abc: 8.947 8.947 8.947
angles: 26.65 26.65 26.65
Atoms (fractional coordinates):
Al (0.000, 0.000, 0.000)
Bi (0.500, 0.500, 0.500)
Se (0.098, 0.098, 0.098)
Se (0.902, 0.902, 0.902)